Material: BaCrCd2
Method: DFT, PBE
State: relaxed

a b c (Å): 6.5841 6.5841 6.5841
angles (deg): 43.57 43.57 43.57
Last column: nearest neighbours and their distance in Å.
Fractional positions:
Cd: 0.5508 0.5508 0.5508  3 Cr 2.88, 3 Cd 3.05
Cd: 0.9492 0.9492 0.9492  3 Cr 2.88, 3 Cd 3.05
Ba: 0.7500 0.7500 0.7500  8 Cd 3.56-3.70
Cr: 0.2500 0.2500 0.2500  6 Cd 2.88

Output
E_form = 0.132 eV per atom



Material: MgTl2Cd6
Method: DFT, PBE
State: relaxed

a b c (Å): 3.3086 8.8981 8.8981
angles (deg): 60.00 89.98 89.98
Last column: nearest neighbours and their distance in Å.
Fractional positions:
Cd: 0.5000 0.3274 0.6726  3 Cd 2.91-3.07
Cd: 0.5000 0.6726 0.3274  3 Cd 2.91-3.07
Cd: 0.4987 0.6726 0.0000  3 Cd 2.91-3.07
Cd: 0.5013 0.0000 0.3274  3 Cd 2.91-3.07
Cd: 0.5013 0.3274 0.0000  3 Cd 2.91-3.07
Cd: 0.4987 0.0000 0.6726  3 Cd 2.91-3.07
Tl: 0.0000 0.6667 0.6667  2 Tl 3.31, 12 Cd 3.42
Tl: 0.0000 0.3333 0.3333  2 Tl 3.31, 12 Cd 3.42
Mg: 0.0000 0.0000 0.0000  2 Mg 3.31, 12 Cd 3.35

Output
E_form = 0.021 eV per atom